An optimized crystal structure of Ca3Pt2. Source: Alexandria via LeMat-Bulk, functional PBE-GGA.

Structure (POSCAR):
```
Ca3Pt2
1.0
0.000 7.867 2.884
5.419 0.000 2.884
5.419 7.867 0.000
Ca Pt
6 4
direct
0.000 0.000 0.000
0.250 0.250 0.250
0.364 0.636 0.364
0.614 0.886 0.614
0.636 0.364 0.636
0.886 0.614 0.886
0.069 0.432 0.067
0.183 0.818 0.181
0.432 0.069 0.432
0.818 0.183 0.818
```

Size of the total moment   0.000 μB/atom
Distance to the lowest polymorph of the same formula   1.24 eV per formula unit
Fermi-level density of states   5.588 states/eV/cell